The following is a PBE calculation of crystalline Na5Cd2 at its relaxed geometry, from Alexandria via LeMat-Bulk.

Calculated values
Spin magnetization = 0.00 μB per atom
Energy of formation = -9.3 meV/atom
Symmetry = C2/m, No. 12
DOS at the Fermi energy = 2.8 states/eV per cell
ΔE to the lowest computed polymorph = 30 meV/atom
E_tot = -1.2129 eV/atom

POSCAR file:
```
Na5Cd2
1.0
4.238 -4.883 0.000
4.238 4.883 0.000
-0.524 0.000 5.405
Na Cd
5 2
Cartesian
0.000 0.000 0.000
2.819 1.898 1.444
5.133 1.898 3.961
2.819 -1.898 1.444
5.133 -1.898 3.961
2.531 0.000 4.183
5.420 0.000 1.222
```